Entry 1:
Below is crystalline TcIr2Os2 at its relaxed geometry, with properties calculated at the PBE level.

Calculated values
**Calculated formation energy**: -0.015 eV per atom
**Symmetry**: P2_1/c (14)

Cell: 11.2524 5.4770 4.7189 Å, 90.00 97.45 90.00°
Last column: nearest neighbours and their distance in Å.
Sites, in units of the cell vectors:
Tc 0.1985 0.1229 0.1460  6 Ir 2.69-2.77, 4 Os 2.70-2.73, 2 Tc 2.74
Tc 0.1985 0.3771 0.6460  6 Ir 2.69-2.77, 4 Os 2.70-2.73, 2 Tc 2.74
Tc 0.8015 0.6229 0.3540  6 Ir 2.69-2.77, 4 Os 2.70-2.73, 2 Tc 2.74
Tc 0.8015 0.8771 0.8540  6 Ir 2.69-2.77, 4 Os 2.70-2.73, 2 Tc 2.74
Ir 0.2000 0.6212 0.1520  4 Tc 2.69-2.75, 3 Ir 2.71-2.75, 5 Os 2.72-2.77
Ir 0.2000 0.8788 0.6520  4 Tc 2.69-2.75, 3 Ir 2.71-2.75, 5 Os 2.72-2.77
Ir 0.3994 0.1251 0.5515  4 Ir 2.71-2.74, 6 Os 2.72-2.75, 2 Tc 2.73-2.77
Ir 0.3994 0.3749 0.0515  4 Ir 2.71-2.74, 6 Os 2.72-2.75, 2 Tc 2.73-2.77
Ir 0.6006 0.6251 0.9485  4 Ir 2.71-2.74, 6 Os 2.72-2.75, 2 Tc 2.73-2.77
Ir 0.6006 0.8749 0.4485  4 Ir 2.71-2.74, 6 Os 2.72-2.75, 2 Tc 2.73-2.77
Ir 0.8000 0.1212 0.3480  4 Tc 2.69-2.75, 3 Ir 2.71-2.75, 5 Os 2.72-2.77
Ir 0.8000 0.3788 0.8480  4 Tc 2.69-2.75, 3 Ir 2.71-2.75, 5 Os 2.72-2.77
Os 0.0013 0.1291 0.7538  3 Tc 2.70-2.73, 6 Os 2.71-2.78, 3 Ir 2.72-2.77
Os 0.0013 0.3709 0.2538  3 Tc 2.70-2.73, 6 Os 2.71-2.78, 3 Ir 2.72-2.77
Os 0.3996 0.6241 0.5492  8 Ir 2.72-2.75, 1 Tc 2.73, 3 Os 2.73
Os 0.3996 0.8759 0.0492  8 Ir 2.72-2.75, 1 Tc 2.73, 3 Os 2.73
Os 0.6004 0.1241 0.9508  8 Ir 2.72-2.75, 1 Tc 2.73, 3 Os 2.73
Os 0.6004 0.3759 0.4508  8 Ir 2.72-2.75, 1 Tc 2.73, 3 Os 2.73
Os 0.9987 0.6291 0.7462  3 Tc 2.70-2.73, 6 Os 2.71-2.78, 3 Ir 2.72-2.77
Os 0.9987 0.8709 0.2462  3 Tc 2.70-2.73, 6 Os 2.71-2.78, 3 Ir 2.72-2.77

=====

Entry 2:
Below is crystalline TcIr2Os at its relaxed geometry, with properties calculated at the PBE level.

Calculated values
**Calculated formation energy**: 0.617 eV per atom
**Symmetry**: Fm-3m (225)

Cell: 4.3891 4.3891 4.3891 Å, 60.00 60.00 60.00°
Last column: nearest neighbours and their distance in Å.
Sites, in units of the cell vectors:
Tc 0.0000 0.0000 0.0000  8 Ir 2.69
Ir 0.2500 0.2500 0.2500  4 Os 2.69, 4 Tc 2.69
Ir 0.7500 0.7500 0.7500  4 Os 2.69, 4 Tc 2.69
Os 0.5000 0.5000 0.5000  8 Ir 2.69

=====

Entry 3:
Below is crystalline Tc2Ir7Os2 at its relaxed geometry, with properties calculated at the PBE level.

Calculated values
**Calculated formation energy**: 0.295 eV per atom
**Symmetry**: C2/m (12)

Cell: 6.1021 6.1021 4.7518 Å, 97.82 97.82 80.74°
Last column: nearest neighbours and their distance in Å.
Sites, in units of the cell vectors:
Tc 0.1750 0.8250 0.0000  8 Ir 2.65-2.86, 2 Os 2.68, 1 Tc 2.77
Tc 0.8250 0.1750 0.0000  8 Ir 2.65-2.86, 2 Os 2.68, 1 Tc 2.77
Ir 0.0000 0.0000 0.5000  4 Ir 2.65, 2 Os 2.66, 4 Tc 2.75
Ir 0.0515 0.4082 0.7425  3 Os 2.56-2.80, 5 Ir 2.60-2.82, 2 Tc 2.65-2.84
Ir 0.4082 0.0515 0.7425  3 Os 2.56-2.80, 5 Ir 2.60-2.82, 2 Tc 2.65-2.84
Ir 0.4643 0.4643 0.7320  4 Ir 2.41-2.60
Ir 0.5357 0.5357 0.2680  4 Ir 2.41-2.60
Ir 0.5918 0.9485 0.2575  3 Os 2.56-2.80, 5 Ir 2.60-2.82, 2 Tc 2.65-2.84
Ir 0.9485 0.5918 0.2575  3 Os 2.56-2.80, 5 Ir 2.60-2.82, 2 Tc 2.65-2.84
Os 0.2345 0.2345 0.2523  9 Ir 2.56-2.83, 2 Tc 2.68
Os 0.7655 0.7655 0.7477  9 Ir 2.56-2.83, 2 Tc 2.68

=====

Entry 4:
Below is crystalline TcIr2Os at its relaxed geometry, with properties calculated at the PBE level.

Calculated values
**Calculated formation energy**: -0.061 eV per atom
**Symmetry**: Cm (8)

Cell: 4.7356 4.7356 4.7526 Å, 99.31 99.31 33.35°
Last column: nearest neighbours and their distance in Å.
Sites, in units of the cell vectors:
Tc 0.0000 0.0000 0.0000  7 Ir 2.72-2.76, 2 Tc 2.72, 3 Os 2.74-2.75
Ir 0.2517 0.2517 0.7562  3 Tc 2.72-2.73, 5 Ir 2.72-2.79, 4 Os 2.73-2.74
Ir 0.4971 0.4971 0.4943  3 Os 2.71-2.72, 4 Tc 2.72-2.76, 5 Ir 2.72-2.79
Os 0.7490 0.7490 0.2537  7 Ir 2.71-2.74, 2 Os 2.72, 3 Tc 2.74-2.75

=====

Entry 5:
Below is crystalline Tc3IrOs at its relaxed geometry, with properties calculated at the PBE level.

Calculated values
**Calculated formation energy**: 2.009 eV per atom
**Symmetry**: Pm-3m (221)

Cell: 4.6052 4.6052 4.6052 Å, 90.00 90.00 90.00°
Last column: nearest neighbours and their distance in Å.
Sites, in units of the cell vectors:
Tc 0.0000 0.0000 0.5000  2 Os 2.30
Tc 0.0000 0.5000 0.0000  2 Os 2.30
Tc 0.5000 0.0000 0.0000  2 Os 2.30
Ir 0.5000 0.5000 0.5000  12 Tc 3.26
Os 0.0000 0.0000 0.0000  6 Tc 2.30

=====

Entry 6:
Below is crystalline TcIr2Os at its relaxed geometry, with properties calculated at the PBE level.

Calculated values
**Calculated formation energy**: -0.060 eV per atom
**Symmetry**: I-4m2 (119)

Cell: 4.7143 4.7143 4.7143 Å, 131.38 131.38 71.21°
Last column: nearest neighbours and their distance in Å.
Sites, in units of the cell vectors:
Tc 0.0000 0.0000 0.0000  4 Os 2.73, 8 Ir 2.73-2.74
Ir 0.2500 0.7500 0.5000  4 Tc 2.73, 4 Ir 2.73, 4 Os 2.74
Ir 0.5000 0.5000 0.0000  4 Os 2.73, 4 Ir 2.73, 4 Tc 2.74
Os 0.7500 0.2500 0.5000  4 Tc 2.73, 8 Ir 2.73-2.74